(1)
VASP calculation (PBE) on a relaxed structure of TaNiPbAu.

CIF file:
```
data_TaNiPbAu
_chemical_formula_sum 'Ta4 Ni4 Pb4 Au4'
_cell_length_a 6.5864
_cell_length_b 6.5864
_cell_length_c 6.5864
_cell_angle_alpha 90.00
_cell_angle_beta 90.00
_cell_angle_gamma 90.00
_symmetry_space_group_name_H-M 'F -4 3 m'
_symmetry_Int_Tables_number 216
_symmetry_space_group_name_Hall 'F -4 2 3'
loop_
_atom_site_label
_atom_site_fract_x
_atom_site_fract_y
_atom_site_fract_z
Ta1 0.0000 0.0000 0.0000
Ni1 0.0000 0.0000 0.5000
Pb1 0.2500 0.2500 0.2500
Au1 0.2500 0.2500 0.7500
```


(2)
VASP calculation (PBE) on a relaxed structure of TcNiPbAu.

CIF file:
```
data_TcNiPbAu
_chemical_formula_sum 'Tc4 Ni4 Pb4 Au4'
_cell_length_a 6.4690
_cell_length_b 6.4690
_cell_length_c 6.4690
_cell_angle_alpha 90.00
_cell_angle_beta 90.00
_cell_angle_gamma 90.00
_symmetry_space_group_name_H-M 'F -4 3 m'
_symmetry_Int_Tables_number 216
_symmetry_space_group_name_Hall 'F -4 2 3'
loop_
_atom_site_label
_atom_site_fract_x
_atom_site_fract_y
_atom_site_fract_z
Tc1 0.0000 0.0000 0.0000
Ni1 0.0000 0.0000 0.5000
Pb1 0.2500 0.2500 0.2500
Au1 0.2500 0.2500 0.7500
```


(3)
VASP calculation (PBE) on a relaxed structure of NiPdAu2.

For the calculated formation energy, the calculation gives 8 kJ per mole of atoms.

CIF file:
```
data_NiPdAu2
_chemical_formula_sum 'Ni4 Pd4 Au8'
_cell_length_a 6.3246
_cell_length_b 6.3246
_cell_length_c 6.3246
_cell_angle_alpha 90.00
_cell_angle_beta 90.00
_cell_angle_gamma 90.00
_symmetry_space_group_name_H-M 'F -4 3 m'
_symmetry_Int_Tables_number 216
_symmetry_space_group_name_Hall 'F -4 2 3'
loop_
_atom_site_label
_atom_site_fract_x
_atom_site_fract_y
_atom_site_fract_z
Ni1 0.0000 0.0000 0.0000
Pd1 0.2500 0.2500 0.7500
Au1 0.0000 0.0000 0.5000
Au2 0.2500 0.2500 0.2500
```


(4)
VASP calculation (PBE) on a relaxed structure of NiPd2Au.

For the calculated formation energy, the calculation gives 7 kJ per mole of atoms.

CIF file:
```
data_NiPd2Au
_chemical_formula_sum 'Ni4 Pd8 Au4'
_cell_length_a 6.2415
_cell_length_b 6.2415
_cell_length_c 6.2415
_cell_angle_alpha 90.00
_cell_angle_beta 90.00
_cell_angle_gamma 90.00
_symmetry_space_group_name_H-M 'F -4 3 m'
_symmetry_Int_Tables_number 216
_symmetry_space_group_name_Hall 'F -4 2 3'
loop_
_atom_site_label
_atom_site_fract_x
_atom_site_fract_y
_atom_site_fract_z
Ni1 0.0000 0.0000 0.0000
Pd1 0.0000 0.0000 0.5000
Pd2 0.2500 0.2500 0.7500
Au1 0.2500 0.2500 0.2500
```


(5)
VASP calculation (PBE) on a relaxed structure of NiPdAu.

For the calculated formation energy, the calculation gives 24 kJ per mole of atoms. For the distance to the lowest polymorph of the same formula, the calculation gives 0 meV per atom.

CIF file:
```
data_NiPdAu
_chemical_formula_sum 'Ni4 Pd4 Au4'
_cell_length_a 5.8601
_cell_length_b 5.8601
_cell_length_c 5.8601
_cell_angle_alpha 90.00
_cell_angle_beta 90.00
_cell_angle_gamma 90.00
_symmetry_space_group_name_H-M 'F -4 3 m'
_symmetry_Int_Tables_number 216
_symmetry_space_group_name_Hall 'F -4 2 3'
loop_
_atom_site_label
_atom_site_fract_x
_atom_site_fract_y
_atom_site_fract_z
Ni1 0.0000 0.0000 0.0000
Pd1 0.2500 0.2500 0.2500
Au1 0.2500 0.2500 0.7500
```


(6)
VASP calculation (PBE) on a relaxed structure of NiSbPdAu.

CIF file:
```
data_NiSbPdAu
_chemical_formula_sum 'Ni4 Sb4 Pd4 Au4'
_cell_length_a 6.4296
_cell_length_b 6.4296
_cell_length_c 6.4296
_cell_angle_alpha 90.00
_cell_angle_beta 90.00
_cell_angle_gamma 90.00
_symmetry_space_group_name_H-M 'F -4 3 m'
_symmetry_Int_Tables_number 216
_symmetry_space_group_name_Hall 'F -4 2 3'
loop_
_atom_site_label
_atom_site_fract_x
_atom_site_fract_y
_atom_site_fract_z
Ni1 0.0000 0.0000 0.0000
Sb1 0.2500 0.2500 0.7500
Pd1 0.0000 0.0000 0.5000
Au1 0.2500 0.2500 0.2500
```


(7)
VASP calculation (PBE) on a relaxed structure of NiSnPdAu.

CIF file:
```
data_NiSnPdAu
_chemical_formula_sum 'Ni4 Sn4 Pd4 Au4'
_cell_length_a 6.3989
_cell_length_b 6.3989
_cell_length_c 6.3989
_cell_angle_alpha 90.00
_cell_angle_beta 90.00
_cell_angle_gamma 90.00
_symmetry_space_group_name_H-M 'F -4 3 m'
_symmetry_Int_Tables_number 216
_symmetry_space_group_name_Hall 'F -4 2 3'
loop_
_atom_site_label
_atom_site_fract_x
_atom_site_fract_y
_atom_site_fract_z
Ni1 0.0000 0.0000 0.0000
Sn1 0.2500 0.2500 0.7500
Pd1 0.0000 0.0000 0.5000
Au1 0.2500 0.2500 0.2500
```


(8)
VASP calculation (PBE) on a relaxed structure of Zr3Zn3NiPdAu.

For the calculated formation energy, the calculation gives -47 kJ per mole of atoms.

CIF file:
```
data_Zr3Zn3NiPdAu
_chemical_formula_sum 'Zr3 Zn3 Ni1 Pd1 Au1'
_cell_length_a 7.1955
_cell_length_b 7.1955
_cell_length_c 3.4689
_cell_angle_alpha 90.00
_cell_angle_beta 90.00
_cell_angle_gamma 120.00
_symmetry_space_group_name_H-M 'P -6'
_symmetry_Int_Tables_number 174
_symmetry_space_group_name_Hall 'P -6'
loop_
_atom_site_label
_atom_site_fract_x
_atom_site_fract_y
_atom_site_fract_z
Zr1 0.0777 0.3453 0.0000
Zn1 0.3926 0.3384 0.5000
Ni1 0.3333 0.6667 0.5000
Pd1 0.0000 0.0000 0.5000
Au1 0.6667 0.3333 0.0000
```


(9)
VASP calculation (PBE) on a relaxed structure of PmNiAu.

For the calculated formation energy, the calculation gives 2 kJ per mole of atoms. For the distance to the lowest polymorph of the same formula, the calculation gives 462 meV per atom.

CIF file:
```
data_PmNiAu
_chemical_formula_sum 'Pm4 Ni4 Au4'
_cell_length_a 6.7142
_cell_length_b 6.7142
_cell_length_c 6.7142
_cell_angle_alpha 90.00
_cell_angle_beta 90.00
_cell_angle_gamma 90.00
_symmetry_space_group_name_H-M 'F -4 3 m'
_symmetry_Int_Tables_number 216
_symmetry_space_group_name_Hall 'F -4 2 3'
loop_
_atom_site_label
_atom_site_fract_x
_atom_site_fract_y
_atom_site_fract_z
Pm1 0.0000 0.0000 0.0000
Ni1 0.2500 0.2500 0.2500
Au1 0.2500 0.2500 0.7500
```


(10)
VASP calculation (PBE) on a relaxed structure of PmNiAu.

For the calculated formation energy, the calculation gives -42 kJ per mole of atoms. For the distance to the lowest polymorph of the same formula, the calculation gives 0 meV per atom.

CIF file:
```
data_PmNiAu
_chemical_formula_sum 'Pm4 Ni4 Au4'
_cell_length_a 6.4046
_cell_length_b 6.4046
_cell_length_c 6.4046
_cell_angle_alpha 90.00
_cell_angle_beta 90.00
_cell_angle_gamma 90.00
_symmetry_space_group_name_H-M 'F -4 3 m'
_symmetry_Int_Tables_number 216
_symmetry_space_group_name_Hall 'F -4 2 3'
loop_
_atom_site_label
_atom_site_fract_x
_atom_site_fract_y
_atom_site_fract_z
Pm1 0.0000 0.0000 0.0000
Ni1 0.2500 0.2500 0.7500
Au1 0.0000 0.0000 0.5000
```


(11)
VASP calculation (PBE) on a relaxed structure of PrNiAu.

For the calculated formation energy, the calculation gives 6 kJ per mole of atoms.

CIF file:
```
data_PrNiAu
_chemical_formula_sum 'Pr4 Ni4 Au4'
_cell_length_a 6.8154
_cell_length_b 6.8154
_cell_length_c 6.8154
_cell_angle_alpha 90.00
_cell_angle_beta 90.00
_cell_angle_gamma 90.00
_symmetry_space_group_name_H-M 'F -4 3 m'
_symmetry_Int_Tables_number 216
_symmetry_space_group_name_Hall 'F -4 2 3'
loop_
_atom_site_label
_atom_site_fract_x
_atom_site_fract_y
_atom_site_fract_z
Pr1 0.0000 0.0000 0.0000
Ni1 0.2500 0.2500 0.2500
Au1 0.2500 0.2500 0.7500
```


(12)
VASP calculation (PBE) on a relaxed structure of PrNiAu.

For the calculated formation energy, the calculation gives -49 kJ per mole of atoms.

CIF file:
```
data_PrNiAu
_chemical_formula_sum 'Pr4 Ni4 Au4'
_cell_length_a 4.4191
_cell_length_b 7.4695
_cell_length_c 7.7556
_cell_angle_alpha 90.00
_cell_angle_beta 90.00
_cell_angle_gamma 90.00
_symmetry_space_group_name_H-M 'I m m 2'
_symmetry_Int_Tables_number 44
_symmetry_space_group_name_Hall 'I 2 -2'
loop_
_atom_site_label
_atom_site_fract_x
_atom_site_fract_y
_atom_site_fract_z
Pr1 0.0000 0.0000 0.0000
Pr2 0.0000 0.5000 0.0610
Ni1 0.0000 0.2952 0.6919
Au1 0.0000 0.2181 0.3659
```


(13)
VASP calculation (PBE) on a relaxed structure of PrNi2Au2.

For the calculated formation energy, the calculation gives -29 kJ per mole of atoms. For the distance to the lowest polymorph of the same formula, the calculation gives 34 meV per atom.

CIF file:
```
data_PrNi2Au2
_chemical_formula_sum 'Pr2 Ni4 Au4'
_cell_length_a 4.1908
_cell_length_b 4.1908
_cell_length_c 10.8400
_cell_angle_alpha 90.00
_cell_angle_beta 90.00
_cell_angle_gamma 90.00
_symmetry_space_group_name_H-M 'P 4/n m m'
_symmetry_Int_Tables_number 129
loop_
_symmetry_equiv_pos_as_xyz
'x,y,z'
'-x,-y,-z'
'-y+1/2,x,z'
'y+1/2,-x,-z'
'-x+1/2,-y+1/2,z'
'x+1/2,y+1/2,-z'
'y,-x+1/2,z'
'-y,x+1/2,-z'
'x+1/2,-y,-z'
'-x+1/2,y,z'
'-y,-x,-z'
'y,x,z'
'-x,y+1/2,-z'
'x,-y+1/2,z'
'y+1/2,x+1/2,-z'
'-y+1/2,-x+1/2,z'
loop_
_atom_site_label
_atom_site_fract_x
_atom_site_fract_y
_atom_site_fract_z
Pr1 0.2500 0.2500 0.2438
Ni1 0.2500 0.2500 0.6410
Ni2 0.2500 0.7500 0.0000
Au1 0.2500 0.2500 0.8661
Au2 0.2500 0.7500 0.5000
```


(14)
VASP calculation (PBE) on a relaxed structure of PrNi2Au2.

For the calculated formation energy, the calculation gives -32 kJ per mole of atoms. For the distance to the lowest polymorph of the same formula, the calculation gives 0 meV per atom.

CIF file:
```
data_PrNi2Au2
_chemical_formula_sum 'Pr2 Ni4 Au4'
_cell_length_a 4.0733
_cell_length_b 4.0733
_cell_length_c 11.2741
_cell_angle_alpha 90.00
_cell_angle_beta 90.00
_cell_angle_gamma 90.00
_symmetry_space_group_name_H-M 'I 4/m m m'
_symmetry_Int_Tables_number 139
_symmetry_space_group_name_Hall '-I 4 2'
loop_
_atom_site_label
_atom_site_fract_x
_atom_site_fract_y
_atom_site_fract_z
Pr1 0.0000 0.0000 0.0000
Ni1 0.0000 0.0000 0.3999
Au1 0.0000 0.5000 0.2500
```


Computed total magnetic moment, in the same sequence as the records: 0.02; 4.12; 1.91; 4.01; 3.34; 0.00; 0.00; 0.00; 0.02; 0.00; 0.01; 0.01; 0.00; 0.03 μB/cell.
Computed energy, in the same sequence as the records: -22.81; -21.05; -16.95; -18.91; -13.27; -18.68; -18.89; -47.87; -13.51; -14.89; -13.42; -15.13; -23.93; -24.10 eV/f.u..